This record from Alexandria via LeMat-Bulk describes LaRe2Ru after structural relaxation. The functional is PBE.

Computed properties:
space-group type	Imm2
distance to the lowest polymorph of the same formula	303	meV/atom
energy of formation	2.26	eV/f.u.
raw total energy	-36.84	eV per cell

abc: 5.599 5.599 5.599
angles: 147.91 125.79 64.40
Sites, in units of the cell vectors:
Ru: 0.530 0.530 0.000
Re: 0.965 0.965 0.000
Re: 0.754 0.254 0.500
La: 0.251 0.751 0.500